! GGA-PBE Be3SiMo, optimized geometry; values from VASP
! Energy relative to the elements, uncorrected ... 1.455 eV per atom
! E above lowest polymorph ... 359 meV/atom
! D(E_F) ... 2.62 states/eV per cell
&SYSTEM
  ibrav = 0, nat = 5, ntyp = 3
/
ATOMIC_SPECIES
Be 9.01 Be.upf
Si 28.09 Si.upf
Mo 95.94 Mo.upf
ATOMIC_POSITIONS angstrom
Be 0.000 0.000 2.142
Be 0.000 2.142 0.000
Be 2.142 0.000 0.000
Si 2.142 2.142 2.142
Mo 0.000 0.000 0.000
CELL_PARAMETERS angstrom
4.284 0.000 0.000
0.000 4.284 0.000
0.000 0.000 4.284

---

! GGA-PBE PuHf4Sc6, optimized geometry; values from VASP
! DFT formation energy ... 20.3 kJ per mole of atoms
! D(E_F) ... 44.14 states/eV per cell
&SYSTEM
  ibrav = 0, nat = 22, ntyp = 3
/
ATOMIC_SPECIES
Pu 244.00 Pu.upf
Hf 178.49 Hf.upf
Sc 44.96 Sc.upf
ATOMIC_POSITIONS angstrom
Pu 2.017 2.582 17.338
Pu 2.418 -2.582 5.779
Hf 2.238 3.064 10.543
Hf 2.598 3.064 1.015
Hf 2.329 0.411 2.755
Hf 2.507 0.411 8.803
Hf 1.928 -0.411 14.314
Hf 2.106 -0.411 20.362
Hf 1.837 -3.064 22.102
Hf 2.197 -3.064 12.574
Sc 2.390 3.206 4.065
Sc 2.446 3.206 7.494
Sc 2.004 2.549 13.901
Sc 2.031 2.549 20.775
Sc 2.418 0.304 5.779
Sc 2.618 0.000 0.000
Sc 2.218 0.000 11.559
Sc 2.017 -0.304 17.338
Sc 2.404 -2.549 2.342
Sc 2.431 -2.549 9.217
Sc 1.990 -3.206 15.623
Sc 2.045 -3.206 19.052
CELL_PARAMETERS angstrom
2.618 -4.293 0.000
2.618 4.293 0.000
-0.801 0.000 23.117

---

! GGA-PBE Tm2TeBr, optimized geometry; values from VASP
! Energy relative to the elements, uncorrected ... -0.905 eV per atom
! E above lowest polymorph ... 35 meV/atom
! D(E_F) ... 5.96 states/eV per cell
&SYSTEM
  ibrav = 0, nat = 12, ntyp = 3
/
ATOMIC_SPECIES
Tm 168.93 Tm.upf
Te 127.60 Te.upf
Br 79.90 Br.upf
ATOMIC_POSITIONS angstrom
Tm 0.000 0.000 2.712
Tm 0.000 0.000 25.327
Tm 0.000 2.298 15.981
Tm 0.000 2.298 21.405
Tm 1.990 1.149 6.635
Tm 1.990 1.149 12.058
Te 0.000 0.000 14.020
Te 0.000 2.298 4.673
Te 1.990 1.149 23.366
Br 0.000 0.000 0.000
Br 0.000 2.298 18.693
Br 1.990 1.149 9.346
CELL_PARAMETERS angstrom
3.980 0.000 0.000
-1.990 3.447 0.000
0.000 0.000 28.039

---

! GGA-PBE SrReI2N, optimized geometry; values from VASP
! Energy relative to the elements, uncorrected ... 1.315 eV per atom
! E above lowest polymorph ... 1475 meV/atom
! D(E_F) ... 1.43 states/eV per cell
&SYSTEM
  ibrav = 0, nat = 5, ntyp = 4
/
ATOMIC_SPECIES
Sr 87.62 Sr.upf
Re 186.21 Re.upf
I 126.90 I.upf
N 14.01 N.upf
ATOMIC_POSITIONS angstrom
Sr 0.000 0.000 0.000
Re 3.237 3.237 2.510
I 0.000 3.237 0.000
I 3.237 0.000 0.000
N 0.000 0.000 2.510
CELL_PARAMETERS angstrom
6.475 0.000 0.000
0.000 6.475 0.000
0.000 0.000 5.020

---

Please write out number 3 again, unchanged.
! GGA-PBE Tm2TeBr, optimized geometry; values from VASP
! Energy relative to the elements, uncorrected ... -0.905 eV per atom
! E above lowest polymorph ... 35 meV/atom
! D(E_F) ... 5.96 states/eV per cell
&SYSTEM
  ibrav = 0, nat = 12, ntyp = 3
/
ATOMIC_SPECIES
Tm 168.93 Tm.upf
Te 127.60 Te.upf
Br 79.90 Br.upf
ATOMIC_POSITIONS angstrom
Tm 0.000 0.000 2.712
Tm 0.000 0.000 25.327
Tm 0.000 2.298 15.981
Tm 0.000 2.298 21.405
Tm 1.990 1.149 6.635
Tm 1.990 1.149 12.058
Te 0.000 0.000 14.020
Te 0.000 2.298 4.673
Te 1.990 1.149 23.366
Br 0.000 0.000 0.000
Br 0.000 2.298 18.693
Br 1.990 1.149 9.346
CELL_PARAMETERS angstrom
3.980 0.000 0.000
-1.990 3.447 0.000
0.000 0.000 28.039